(1)
Density functional theory data (PBE) for a relaxed LiNd3B2Pt9 crystal.

Results
* symmetry: P-3m1, No. 164
* crystal system: trigonal

abc: 6.587 6.587 6.985
angles: 90.00 90.00 120.00
Positions (direct):
Nd 0.333 0.667 0.668
Nd 0.667 0.333 0.332
Nd 0.000 0.000 0.000
Pt 0.000 0.500 0.000
Pt 0.178 0.356 0.327
Pt 0.822 0.644 0.673
Pt 0.356 0.178 0.673
Pt 0.178 0.822 0.327
Pt 0.644 0.822 0.327
Pt 0.500 0.500 0.000
Pt 0.500 0.000 0.000
Pt 0.822 0.178 0.673
B 0.333 0.667 0.158
B 0.667 0.333 0.842
Li 0.000 0.000 0.500



(2)
Density functional theory data (PBE) for a relaxed Li2Nd2BPt4 crystal.

Results
* symmetry: I4/mmm, No. 139
* crystal system: tetragonal

abc: 6.052 6.052 6.052
angles: 96.26 116.45 116.45
Positions (direct):
Li 0.000 0.678 0.678
Li 0.000 0.322 0.322
Nd 0.500 0.750 0.250
Nd 0.500 0.250 0.750
B 0.000 0.000 0.000
Pt 0.471 0.236 0.236
Pt 0.000 0.236 0.764
Pt 0.000 0.764 0.236
Pt 0.529 0.764 0.764



(3)
Density functional theory data (PBE) for a relaxed LiNd2B3Pt12 crystal.

Results
* symmetry: R-3m, No. 166
* crystal system: trigonal

abc: 7.292 7.292 7.292
angles: 66.33 66.33 66.33
Positions (direct):
B 0.000 0.000 0.500
B 0.500 0.000 0.000
B 0.000 0.500 0.000
Pt 0.881 0.881 0.370
Pt 0.630 0.119 0.119
Pt 0.089 0.675 0.675
Pt 0.119 0.630 0.119
Pt 0.325 0.325 0.911
Pt 0.119 0.119 0.630
Pt 0.325 0.911 0.325
Pt 0.881 0.370 0.881
Pt 0.675 0.089 0.675
Pt 0.370 0.881 0.881
Pt 0.911 0.325 0.325
Pt 0.675 0.675 0.089
Nd 0.610 0.610 0.610
Nd 0.390 0.390 0.390
Li 0.000 0.000 0.000



(4)
Density functional theory data (PBE) for a relaxed LiNiB crystal.

Results
* symmetry: Fmmm, No. 69
* crystal system: orthorhombic

abc: 3.928 3.928 4.439
angles: 103.59 103.59 117.98
Positions (direct):
Ni 0.163 0.163 0.325
Ni 0.837 0.837 0.675
Li 0.663 0.337 0.000
Li 0.337 0.663 0.000
B 0.750 0.250 0.500
B 0.250 0.750 0.500



(5)
Density functional theory data (PBE) for a relaxed Li2Ni5B2 crystal.

Results
* symmetry: Cmce, No. 64
* crystal system: orthorhombic

abc: 5.349 5.346 7.294
angles: 111.50 90.00 90.00
Positions (direct):
Ni 0.331 0.932 0.201
Ni 0.169 0.231 0.799
Ni 0.169 0.432 0.201
Ni 0.500 0.500 0.000
Ni 0.669 0.269 0.201
Ni 0.331 0.731 0.799
Ni 0.831 0.769 0.201
Ni 0.831 0.568 0.799
Ni 0.000 0.000 0.000
Ni 0.669 0.068 0.799
Li 0.000 0.772 0.543
Li 0.000 0.228 0.457
Li 0.500 0.272 0.543
Li 0.500 0.728 0.457
B 0.377 0.124 0.000
B 0.623 0.876 0.000
B 0.123 0.624 0.000
B 0.877 0.376 0.000



(6)
Density functional theory data (PBE) for a relaxed LiNi6B6 crystal.

Results
* symmetry: Immm, No. 71
* crystal system: orthorhombic

abc: 4.120 5.469 5.469
angles: 81.74 67.87 67.87
Positions (direct):
Ni 0.661 0.339 0.339
Ni 0.000 0.670 0.330
Ni 0.327 0.173 0.173
Ni 0.000 0.330 0.670
Ni 0.673 0.827 0.827
Ni 0.339 0.661 0.661
B 0.500 0.762 0.238
B 0.500 0.500 0.000
B 0.000 0.500 0.000
B 0.500 0.238 0.762
B 0.000 0.000 0.500
B 0.500 0.000 0.500
Li 0.000 0.000 0.000



(7)
Density functional theory data (PBE) for a relaxed LiNi2B2 crystal.

Results
* polymorph energy (0 for the lowest one): 0.0 kJ/mol of atoms
* symmetry: P4/mbm, No. 127
* crystal system: tetragonal

abc: 5.885 5.885 2.441
angles: 90.00 90.00 90.00
Positions (direct):
Ni 0.185 0.685 0.500
Ni 0.815 0.315 0.500
Ni 0.685 0.815 0.500
Ni 0.315 0.185 0.500
B 0.109 0.391 0.000
B 0.391 0.891 0.000
B 0.609 0.109 0.000
B 0.891 0.609 0.000
Li 0.000 0.000 0.000
Li 0.500 0.500 0.000



(8)
Density functional theory data (PBE) for a relaxed LiNi3B2 crystal.

Results
* symmetry: Imma, No. 74
* crystal system: orthorhombic

abc: 4.795 5.949 5.629
angles: 121.90 115.21 90.00
Positions (direct):
B 0.893 0.063 0.126
B 0.733 0.563 0.126
B 0.107 0.937 0.874
B 0.267 0.437 0.874
Ni 0.500 0.798 0.000
Ni 0.000 0.298 0.000
Ni 0.000 0.000 0.500
Ni 0.500 0.202 0.000
Ni 0.000 0.500 0.500
Ni 0.000 0.702 0.000
Li 0.489 0.250 0.500
Li 0.511 0.750 0.500



(9)
Density functional theory data (PBE) for a relaxed LiNiB crystal.

Results
* symmetry: Cm, No. 8
* crystal system: monoclinic

abc: 5.090 3.284 7.678
angles: 90.00 120.25 90.00
Positions (direct):
B 0.552 0.500 0.583
B 0.836 0.500 0.833
B 0.552 0.000 0.083
B 0.836 0.000 0.333
Ni 0.089 0.500 0.480
Ni 0.089 0.000 0.980
Ni 0.815 0.500 0.100
Ni 0.815 0.000 0.600
Li 0.277 0.000 0.347
Li 0.277 0.500 0.847
Li 0.495 0.000 0.760
Li 0.495 0.500 0.260



(10)
Density functional theory data (PBE) for a relaxed Li3NiB crystal.

Results
* polymorph energy (0 for the lowest one): 33.1 kJ/mol of atoms
* symmetry: Pm-3m, No. 221
* crystal system: cubic

abc: 4.344 4.344 4.344
angles: 90.00 90.00 90.00
Positions (direct):
Li 0.000 0.000 0.500
Li 0.500 0.000 0.000
Li 0.000 0.500 0.000
Ni 0.000 0.000 0.000
B 0.500 0.500 0.500



(11)
Density functional theory data (PBE) for a relaxed LiNiB crystal.

Results
* symmetry: P-1, No. 2
* crystal system: triclinic

abc: 3.900 3.905 4.434
angles: 97.56 91.16 102.30
Positions (direct):
Ni 0.301 0.701 0.507
Ni 0.699 0.299 0.493
B 0.173 0.170 0.477
B 0.827 0.830 0.523
Li 0.753 0.745 0.020
Li 0.247 0.255 0.980



(12)
Density functional theory data (PBE) for a relaxed Li3NiB crystal.

Results
* polymorph energy (0 for the lowest one): 0.0 kJ/mol of atoms
* symmetry: Pm-3m, No. 221
* crystal system: cubic

abc: 4.087 4.087 4.087
angles: 90.00 90.00 90.00
Positions (direct):
Ni 0.500 0.500 0.500
Li 0.500 0.000 0.000
Li 0.000 0.000 0.500
Li 0.000 0.500 0.000
B 0.000 0.000 0.000



no.,ΔH_f (0 K) (meV per atom)
1,-698
2,-737
3,-457
4,-160
5,-168
6,-99
7,-212
8,-292
9,-84
10,1098
11,-286
12,755